Entry 1:
First-principles (PBE-GGA) data for a relaxed structure of RbU2Pd2S4, as listed in Alexandria via LeMat-Bulk.

Geometry as extended XYZ:
```
9
Lattice="-0.3771 -1.5232 -3.3419 -4.6897 -5.5918 5.1172 -2.1261 8.2894 -3.5383" Properties=species:S:1:pos:R:3 pbc="T T T"
Rb 0.0000 0.0000 0.0000
U -2.2444 3.9540 -1.5489
S -6.2854 -0.6230 0.9932
Pd -4.0300 5.0164 -3.8710
Pd -3.1629 -3.8419 2.1080
S -0.9075 1.7974 -2.7562
U -4.9485 -2.7796 -0.2141
S -4.2535 2.4554 -2.6785
S -2.9394 -1.2810 0.9155
```

Calculated values
* D(E_F): 4.0 states/eV/cell
* formation energy without anion corrections: -0.9600 eV per atom
* space-group type: No. 12


Entry 2:
First-principles (PBE-GGA) data for a relaxed structure of RbU3Pd4S12, as listed in Alexandria via LeMat-Bulk.

Geometry as extended XYZ:
```
20
Lattice="-6.4865 -2.7015 4.8158 6.6335 0.2842 5.3367 -1.7967 8.1731 -1.5929" Properties=species:S:1:pos:R:3 pbc="T T T"
U -0.8911 -1.4281 5.0379
S -5.2951 0.3429 5.6607
S -2.7637 -1.6179 6.9293
Pd -0.8248 2.8779 4.2798
Pd 2.6709 -0.3933 7.1532
Pd 1.1199 7.3872 1.6224
S -1.1519 7.4931 1.6511
S 2.8905 6.1194 2.2784
S -5.8334 3.2558 2.5226
S 3.7638 1.5262 6.6109
U 3.0382 3.6487 2.3814
S -2.2562 4.2174 3.1032
U -3.7968 3.5353 1.1403
S 4.5994 4.1123 4.4952
S -4.3101 6.1394 1.4150
S 1.4029 3.3849 4.3683
S -1.6211 1.0315 5.3680
Pd -6.2653 1.6399 4.0638
Rb 0.0000 0.0000 0.0000
S 0.6772 -1.4698 6.9551
```

Calculated values
* D(E_F): 16.5 states/eV/cell
* formation energy without anion corrections: -0.6462 eV per atom
* space-group type: No. 155


Entry 3:
First-principles (PBE-GGA) data for a relaxed structure of Rb4U3PdS8, as listed in Alexandria via LeMat-Bulk.

Geometry as extended XYZ:
```
16
Lattice="8.0422 0.0000 0.0000 0.0000 8.9821 0.6439 -4.0211 -4.0165 5.7003" Properties=species:S:1:pos:R:3 pbc="T T T"
S 4.0211 4.3862 3.0907
Pd 0.0000 4.4910 0.3219
S 5.9649 2.6012 0.4600
U -2.0106 2.4828 3.1721
U 2.0106 2.4828 3.1721
Rb 0.0000 0.0000 0.0000
U 4.0211 4.4910 0.3219
S -1.9438 2.3645 5.8841
S 2.0774 2.6012 0.4600
S 0.0000 4.3050 3.1394
Rb 2.0106 -2.0082 2.8501
Rb -2.0106 -2.0082 2.8501
S 4.0211 0.6606 3.2048
S 1.9438 2.3645 5.8841
S 0.0000 0.5795 3.2535
Rb 4.0211 0.0000 0.0000
```

Calculated values
* D(E_F): 14.6 states/eV/cell
* formation energy without anion corrections: -1.2065 eV per atom
* space-group type: No. 12


Entry 4:
First-principles (PBE-GGA) data for a relaxed structure of RbUPdS2, as listed in Alexandria via LeMat-Bulk.

Geometry as extended XYZ:
```
10
Lattice="4.9735 0.0000 0.0000 0.0000 7.9902 0.4491 0.0000 -1.9790 7.0229" Properties=species:S:1:pos:R:3 pbc="T T T"
U 2.4443 -0.4947 1.7557
Rb 4.0140 3.5004 1.9803
Rb 0.9595 2.5109 5.4917
S 3.4554 0.7732 3.9760
Pd 0.0000 0.0000 0.0000
U 2.5292 -1.4842 5.2671
S 1.5181 5.2380 3.4960
Pd 0.0000 -0.9895 3.5114
S 3.4554 4.2485 7.0074
S 1.5181 1.7627 0.4646
```

Calculated values
* D(E_F): 11.6 states/eV/cell
* formation energy without anion corrections: -0.9519 eV per atom
* space-group type: No. 13


Entry 5:
First-principles (PBE-GGA) data for a relaxed structure of RbUPdS4, as listed in Alexandria via LeMat-Bulk.

Geometry as extended XYZ:
```
14
Lattice="-4.0192 -2.8663 4.2129 3.8640 -4.5244 0.6080 5.7015 5.5046 4.7282" Properties=species:S:1:pos:R:3 pbc="T T T"
Pd 4.0071 -2.0983 3.0438
U 2.4399 -3.0779 5.7138
S 1.1446 -0.4233 4.2839
Rb 5.3019 -0.3067 8.1472
S 5.8116 1.2967 3.7632
S -1.9829 -1.1715 5.5156
S 3.3976 1.7690 6.2789
S -0.2653 -3.1828 5.7859
Pd 1.5391 0.2122 6.5053
Rb 0.2443 -1.5794 1.4020
S 7.5292 -0.7146 4.0335
S 2.1487 -3.6551 3.2702
S 4.4017 -1.4628 5.2652
U 3.1064 1.1918 3.8353
```

Calculated values
* D(E_F): 5.9 states/eV/cell
* formation energy without anion corrections: -0.9544 eV per atom
* space-group type: No. 11


Entry 6:
First-principles (PBE-GGA) data for a relaxed structure of Rb2U2PdS6, as listed in Alexandria via LeMat-Bulk.

Geometry as extended XYZ:
```
11
Lattice="-4.3544 3.7739 3.9186 5.5197 -3.4276 2.5187 4.1320 6.2699 -3.1089" Properties=species:S:1:pos:R:3 pbc="T T T"
S 0.3078 3.5474 4.2097
S 1.6761 2.1599 0.7107
S 4.0143 0.8442 3.6842
U 4.2413 2.1465 1.4384
Rb 4.0324 -2.3428 2.7296
S 4.9895 3.0688 -0.8813
Pd 2.0660 3.1349 -1.5544
S 1.2830 5.7721 -0.3558
S 3.6212 4.4563 2.6177
U 1.0560 4.4697 1.8900
Rb -2.8671 2.6891 3.7077
```

Calculated values
* D(E_F): 11.9 states/eV/cell
* formation energy without anion corrections: -1.1636 eV per atom
* space-group type: No. 12


Entry 7:
First-principles (PBE-GGA) data for a relaxed structure of RbU2PdS6, as listed in Alexandria via LeMat-Bulk.

Geometry as extended XYZ:
```
20
Lattice="-3.7346 3.4829 -6.0549 0.9502 -6.2295 -7.3968 -9.4375 -0.6456 2.2223" Properties=species:S:1:pos:R:3 pbc="T T T"
S -5.1364 2.1573 -4.6291
S -10.8252 -2.8016 -7.8939
U -2.7676 -2.5684 -3.7007
S -7.8381 -2.0537 -5.7938
Pd -3.7485 -2.5972 -10.1806
S -8.0206 0.3416 -3.0749
S -4.2013 -3.7338 -8.1545
Rb -11.2366 1.4281 -3.2466
S -11.0600 0.6908 -6.5599
S -4.3838 -1.3385 -5.4356
S -1.3967 -0.5906 -3.3355
S -1.1619 -4.0830 -4.6695
Rb -0.9853 -4.8202 -7.9828
U -9.4542 -0.8237 -7.5287
U -6.5357 0.1947 -4.9681
S -7.5268 1.0887 -7.2818
Pd -8.4734 -0.7950 -1.0488
S -4.6951 -4.4809 -3.9476
S -7.0855 -5.5495 -6.6003
U -5.6862 -3.5869 -6.2613
```

Calculated values
* D(E_F): 18.6 states/eV/cell
* formation energy without anion corrections: -0.8543 eV per atom
* space-group type: No. 15


Entry 8:
First-principles (PBE-GGA) data for a relaxed structure of RbUPd2S4, as listed in Alexandria via LeMat-Bulk.

Geometry as extended XYZ:
```
8
Lattice="6.6450 0.0000 0.0000 3.3225 5.3877 0.4426 3.3225 0.8827 5.3333" Properties=species:S:1:pos:R:3 pbc="T T T"
S 5.2471 5.3220 2.9994
U 6.6450 3.1352 2.8879
Pd 3.3225 1.5692 1.4455
S 8.0430 2.8448 0.7176
Rb 0.0000 0.0000 0.0000
S 8.0430 3.4255 5.0582
S 5.2471 0.9484 2.7765
Pd 9.9675 4.7011 4.3304
```

Calculated values
* D(E_F): 8.4 states/eV/cell
* formation energy without anion corrections: -0.6977 eV per atom
* space-group type: No. 121


Entry 9:
First-principles (PBE-GGA) data for a relaxed structure of RbU2PdS5, as listed in Alexandria via LeMat-Bulk.

Geometry as extended XYZ:
```
18
Lattice="-7.2137 -0.9555 2.0197 -0.1831 -6.5507 -3.7528 5.7835 0.3505 6.7043" Properties=species:S:1:pos:R:3 pbc="T T T"
S 0.4874 -5.0688 3.4202
Pd -2.5642 -2.1791 3.9287
S -0.6686 -5.1605 -0.7519
S -4.3141 -7.0218 -0.5347
S 4.1329 -3.2075 3.2029
S 2.7009 -0.1339 5.5059
U -1.2228 -2.3750 -0.9475
Rb -2.6558 -5.4544 2.0523
S -0.9446 -1.9952 5.7232
Rb 1.0426 -1.7013 2.9189
U -6.1739 -5.1312 -0.7856
U -4.7971 -1.6856 0.7310
U -2.5997 -5.8206 -2.4641
S -2.1006 -2.0870 1.5511
S 0.0000 0.0000 0.0000
S -5.7461 -3.9482 1.7683
Pd 0.9511 -4.9767 1.0425
S -3.6984 -3.7531 -0.8666
```

Calculated values
* D(E_F): 16.7 states/eV/cell
* formation energy without anion corrections: -1.1977 eV per atom
* space-group type: No. 140


Entry 10:
First-principles (PBE-GGA) data for a relaxed structure of Rb2UPd2S6, as listed in Alexandria via LeMat-Bulk.

Geometry as extended XYZ:
```
11
Lattice="-6.4488 -1.2504 3.3723 0.9585 -2.0587 -7.0144 3.7067 -4.0674 5.5803" Properties=species:S:1:pos:R:3 pbc="T T T"
S -2.0122 -3.9181 6.5830
S 0.2286 -3.4585 -4.6448
S -0.2164 -2.4924 -1.3380
S 1.0189 -3.3304 4.9980
Pd -2.2946 -6.0253 1.4619
Pd 0.5111 -1.3512 0.4763
U -1.3710 -2.6589 4.4763
Rb -3.5281 -2.7220 0.3279
S -1.5671 -4.8842 3.2762
S -2.8025 -4.0462 -3.0598
Rb 1.7445 -4.6545 1.6103
```

Calculated values
* D(E_F): 8.1 states/eV/cell
* formation energy without anion corrections: -0.7554 eV per atom
* space-group type: No. 12


Entry 11:
First-principles (PBE-GGA) data for a relaxed structure of Rb2PdWS4, as listed in Alexandria via LeMat-Bulk.

Geometry as extended XYZ:
```
16
Lattice="-1.2942 5.1660 -1.8718 -4.4953 3.6450 4.6559 8.9157 7.0554 4.7956" Properties=species:S:1:pos:R:3 pbc="T T T"
S -0.1925 7.5037 4.3078
S 6.7621 8.2145 4.7379
Pd 1.2395 9.2248 3.3219
Rb 2.0862 6.7470 0.1542
S 3.3931 8.0657 3.3795
S 1.8795 4.8040 2.9573
S -3.0632 5.3661 3.6700
W 1.8866 6.6417 4.2578
S -0.6400 4.4207 0.3645
S 1.1722 11.3596 4.5147
S 3.1934 13.7317 6.3869
W -0.6471 2.5830 -0.9359
Pd 0.0000 0.0000 0.0000
Rb -2.1409 7.6438 1.2958
Rb 5.5352 5.4744 2.7695
Rb 4.6200 10.8058 5.3479
```

Calculated values
* formation energy without anion corrections: -0.8919 eV per atom
* space-group type: No. 70


Entry 12:
First-principles (PBE-GGA) data for a relaxed structure of RbZnPdS2, as listed in Alexandria via LeMat-Bulk.

Geometry as extended XYZ:
```
10
Lattice="-0.7152 -3.7605 0.9228 0.6630 1.6186 7.1094 -7.6462 1.5394 0.3466" Properties=species:S:1:pos:R:3 pbc="T T T"
Zn 0.0000 0.0000 0.0000
Pd -6.0922 -0.7256 0.7214
Rb -2.2935 -2.5569 4.5619
S -4.0842 -0.9881 2.2320
Pd -2.2692 -1.4955 0.5481
Zn -3.8231 0.7697 0.1733
S -3.6141 0.3856 6.1469
S -0.1740 -1.2996 1.9462
S -7.5244 0.6971 6.4327
Rb -5.4049 1.9544 3.8170
```

Calculated values
* D(E_F): 5.9 states/eV/cell
* formation energy without anion corrections: -0.6141 eV per atom
* space-group type: No. 13